(1)
Density functional theory data (PBE-GGA) for Sr2GdHg after structural relaxation.

Cell lengths 3.925, 3.925, 9.684 Å; angles 90.00, 90.00, 90.00 degrees
Each line ends with the local moment (μB).
Fractional positions:
Hg 0.500 0.500 0.000  0.00
Gd 0.500 0.500 0.500  7.44
Sr 0.000 0.000 0.208  0.05
Sr 0.000 0.000 0.792  0.05

## Properties
* E above lowest polymorph: 0 meV/atom

***

(2)
Density functional theory data (PBE-GGA) for Sr2GdHg after structural relaxation.

Cell lengths 3.883, 3.883, 12.443 Å; angles 81.02, 81.02, 60.00 degrees
Each line ends with the local moment (μB).
Fractional positions:
Sr 0.901 0.901 0.297  -0.01
Sr 0.099 0.099 0.703  -0.01
Gd 0.000 0.000 0.000  -7.27
Hg 0.500 0.500 0.500  -0.01

## Properties
* E above lowest polymorph: 237 meV/atom

***

(3)
Density functional theory data (PBE-GGA) for SrGdTlHg after structural relaxation.

Cell lengths 5.540, 5.540, 5.540 Å; angles 60.00, 60.00, 60.00 degrees
Each line ends with the local moment (μB).
Fractional positions:
Sr 0.750 0.750 0.750  0.00
Gd 0.250 0.250 0.250  -6.99
Tl 0.500 0.500 0.500  0.01
Hg 0.000 0.000 0.000  0.00

***

(4)
Density functional theory data (PBE-GGA) for TbGd2Hg after structural relaxation.

Cell lengths 4.887, 4.814, 4.814 Å; angles 90.00, 90.00, 90.00 degrees
Each line ends with the local moment (μB).
Fractional positions:
Gd 0.000 0.000 0.500  7.31
Gd 0.000 0.500 0.000  7.31
Hg 0.500 0.000 0.000  -0.01
Tb 0.500 0.500 0.500  0.27

## Properties
* E above lowest polymorph: 47 meV/atom

***

(5)
Density functional theory data (PBE-GGA) for TbGd2Hg after structural relaxation.

Cell lengths 5.440, 5.440, 5.440 Å; angles 60.00, 60.00, 60.00 degrees
Each line ends with the local moment (μB).
Fractional positions:
Gd 0.750 0.750 0.750  7.23
Gd 0.250 0.250 0.250  7.23
Hg 0.500 0.500 0.500  -0.01
Tb 0.000 0.000 0.000  0.31

## Properties
* E above lowest polymorph: 154 meV/atom

***

(6)
Density functional theory data (PBE-GGA) for TbGd2Hg after structural relaxation.

Cell lengths 3.524, 3.524, 12.172 Å; angles 81.68, 81.68, 60.00 degrees
Each line ends with the local moment (μB).
Fractional positions:
Tb 0.500 0.500 0.500  -0.10
Gd 0.912 0.912 0.264  7.22
Gd 0.088 0.088 0.736  7.22
Hg 0.000 0.000 0.000  0.03

## Properties
* E above lowest polymorph: 328 meV/atom

***

(7)
Density functional theory data (PBE-GGA) for TbGdHg2 after structural relaxation.

Cell lengths 3.739, 3.739, 7.505 Å; angles 90.00, 90.00, 90.00 degrees
Each line ends with the local moment (μB).
Fractional positions:
Hg 0.000 0.000 0.745  0.01
Hg 0.000 0.000 0.255  0.01
Tb 0.500 0.500 0.500  0.12
Gd 0.500 0.500 0.000  7.19

***

(8)
Density functional theory data (PBE-GGA) for TbGdHg2 after structural relaxation.

Cell lengths 5.292, 5.292, 5.292 Å; angles 60.00, 60.00, 60.00 degrees
Each line ends with the local moment (μB).
Fractional positions:
Hg 0.250 0.250 0.250  0.01
Hg 0.750 0.750 0.750  0.01
Tb 0.000 0.000 0.000  0.20
Gd 0.500 0.500 0.500  7.19

***

(9)
Density functional theory data (PBE-GGA) for TbGd2Hg after structural relaxation.

Cell lengths 3.625, 3.625, 8.999 Å; angles 90.00, 90.00, 90.00 degrees
Each line ends with the local moment (μB).
Fractional positions:
Tb 0.500 0.500 0.500  0.07
Hg 0.500 0.500 0.000  0.00
Gd 0.000 0.000 0.224  7.14
Gd 0.000 0.000 0.776  7.14

## Properties
* E above lowest polymorph: 0 meV/atom

***

(10)
Density functional theory data (PBE-GGA) for TbGdTcHg after structural relaxation.

Cell lengths 5.069, 5.069, 5.069 Å; angles 60.00, 60.00, 60.00 degrees
Each line ends with the local moment (μB).
Fractional positions:
Tc 0.500 0.500 0.500  -0.16
Tb 0.250 0.250 0.250  0.04
Hg 0.000 0.000 0.000  0.01
Gd 0.750 0.750 0.750  7.06

***

(11)
Density functional theory data (PBE-GGA) for TbGdTmHg after structural relaxation.

Cell lengths 5.406, 5.406, 5.406 Å; angles 60.00, 60.00, 60.00 degrees
Each line ends with the local moment (μB).
Fractional positions:
Tb 0.000 0.000 0.000  0.14
Hg 0.750 0.750 0.750  -0.01
Tm 0.250 0.250 0.250  0.19
Gd 0.500 0.500 0.500  7.20

***

(12)
Density functional theory data (PBE-GGA) for TbGdZnHg after structural relaxation.

Cell lengths 5.206, 5.206, 5.206 Å; angles 60.00, 60.00, 60.00 degrees
Each line ends with the local moment (μB).
Fractional positions:
Hg 0.500 0.500 0.500  0.01
Tb 0.750 0.750 0.750  0.20
Gd 0.250 0.250 0.250  7.17
Zn 0.000 0.000 0.000  0.01

***

Number 1: raw total energy -4.580 eV per atom, N(E_F) 8.31 states/eV/f.u., formation enthalpy at 0 K -0.144 eV/atom. Number 2: raw total energy -4.343 eV per atom, N(E_F) 9.66 states/eV/f.u., formation enthalpy at 0 K 0.094 eV/atom. Number 3: raw total energy -5.033 eV per atom, N(E_F) 4.68 states/eV/f.u., formation enthalpy at 0 K -0.425 eV/atom. Number 4: raw total energy -8.455 eV per atom, N(E_F) 5.13 states/eV/f.u., formation enthalpy at 0 K -0.181 eV/atom. Number 5: raw total energy -8.348 eV per atom, N(E_F) 5.63 states/eV/f.u., formation enthalpy at 0 K -0.075 eV/atom. Number 6: raw total energy -8.174 eV per atom, N(E_F) 4.94 states/eV/f.u., formation enthalpy at 0 K 0.099 eV/atom. Number 7: raw total energy -5.324 eV per atom, N(E_F) 5.36 states/eV/f.u., formation enthalpy at 0 K -0.495 eV/atom. Number 8: raw total energy -5.325 eV per atom, N(E_F) 4.63 states/eV/f.u., formation enthalpy at 0 K -0.496 eV/atom. Number 9: raw total energy -8.502 eV per atom, N(E_F) 5.73 states/eV/f.u., formation enthalpy at 0 K -0.228 eV/atom. Number 10: raw total energy -7.476 eV per atom, N(E_F) 2.74 states/eV/f.u., formation enthalpy at 0 K -0.132 eV/atom. Number 11: raw total energy -5.947 eV per atom, N(E_F) 5.10 states/eV/f.u., formation enthalpy at 0 K -0.076 eV/atom. Number 12: raw total energy -5.477 eV per atom, N(E_F) 3.74 states/eV/f.u., formation enthalpy at 0 K -0.405 eV/atom.